DFT (GGA+U) results for CoAg3Rh3O8 after structural relaxation.

Calculated values
Calculated total energy = -5.592 eV/atom
N(E_F) = 8.23 states/eV/cell
SG = C2/m, No. 12
Total magnetic moment = 0.0643 μB per atom

abc: 6.1069 6.1069 7.3152
angles: 116.36 116.36 60.38
Fractional coordinates of all 15 atoms:
Co 0.0000 0.0000 0.0000
Ag 0.0000 0.5000 0.5000
Ag 0.5000 0.0000 0.5000
Ag 0.5000 0.5000 0.5000
Rh 0.0000 0.5000 0.0000
Rh 0.5000 0.0000 0.0000
Rh 0.5000 0.5000 0.0000
O 0.1040 0.6247 0.8398
O 0.1092 0.1092 0.8536
O 0.3753 0.8960 0.1602
O 0.3911 0.3911 0.1637
O 0.6089 0.6089 0.8363
O 0.6247 0.1040 0.8398
O 0.8908 0.8908 0.1464
O 0.8960 0.3753 0.1602